[1]
An optimized crystal structure of HgSb2Br. Source: the Alexandria database, functional PBE.

Calculated values
Offset from the most stable computed form   0.902 eV per formula unit
Formation energy from raw total energies   0.11 eV per atom
ρ   8.04 g/cm3

Geometry as POSCAR:
```
HgSb2Br
1.0
3.433 0.000 0.000
0.000 5.332 0.000
0.000 0.000 5.915
Hg Sb Br
1 2 1
Cartesian
0.000 0.000 0.000
0.000 2.666 2.958
1.716 2.666 0.000
1.716 0.000 2.958
```

[2]
An optimized crystal structure of NaNiH8Ir2. Source: the Alexandria database, functional PBE.

Calculated values
Energy   -0.1584 hartree per atom
ρ   7.49 g/cm3

Geometry as POSCAR:
```
NaNiH8Ir2
1.0
2.310 1.334 5.686
-2.310 1.334 5.686
0.000 -2.667 5.686
Na Ni H Ir
1 1 8 2
Cartesian
0.000 0.000 0.000
0.000 0.000 8.529
-0.696 -1.180 7.472
-1.370 0.013 9.586
0.000 0.000 5.059
-0.674 1.193 7.472
0.674 -1.193 9.586
0.000 0.000 11.999
1.370 -0.013 7.472
0.696 1.180 9.586
0.000 0.000 3.470
0.000 0.000 13.588
```

[3]
An optimized crystal structure of TiTcH4. Source: the Alexandria database, functional PBE.

Calculated values
Energy   -0.2026 hartree per atom
ρ   6.02 g/cm3

Geometry as POSCAR:
```
TiTcH4
1.0
0.000 3.067 4.415
3.055 0.000 4.415
3.055 3.067 0.000
Ti Tc H
2 2 8
Cartesian
0.764 0.767 1.104
5.346 5.366 7.726
2.291 2.300 3.311
3.818 3.833 5.519
2.316 0.792 2.210
3.793 5.341 6.619
2.266 0.792 4.412
3.793 2.325 4.418
3.844 2.325 6.619
2.266 3.808 2.210
2.316 3.808 4.412
3.844 5.341 4.418
```

[4]
An optimized crystal structure of Zr4CoAu. Source: the Alexandria database, functional PBE.

Calculated values
Offset from the most stable computed form   4.693 eV per formula unit
Energy of formation from the pure elements   0.468 eV per atom
ρ   8.33 g/cm3

Geometry as POSCAR:
```
Zr4CoAu
1.0
0.000 3.955 3.955
3.955 0.000 3.955
3.955 3.955 0.000
Zr Co Au
4 1 1
Cartesian
2.971 2.971 2.971
4.940 4.940 2.971
4.940 2.971 4.940
2.971 4.940 4.940
5.933 5.933 5.933
0.000 0.000 0.000
```

[5]
An optimized crystal structure of Sm2Dy3. Source: the Alexandria database, functional PBE.

Calculated values
Energy of formation from the pure elements   0.017 eV per atom
ρ   8.10 g/cm3

Geometry as POSCAR:
```
Sm2Dy3
1.0
11.301 0.000 0.000
0.000 5.058 0.000
-5.646 0.000 5.656
Sm Dy
4 6
Cartesian
0.572 0.000 1.699
-0.567 2.529 3.956
6.223 2.529 1.699
5.084 0.000 3.956
-2.823 0.000 2.828
-3.948 2.529 5.097
3.953 0.000 0.559
2.828 2.529 2.828
1.703 0.000 5.097
9.603 2.529 0.559
```

[6]
An optimized crystal structure of La2BeAs. Source: the Alexandria database, functional PBE.

Calculated values
Offset from the most stable computed form   1.852 eV per formula unit
Energy of formation from the pure elements   -0.184 eV per atom
ρ   5.68 g/cm3

Geometry as POSCAR:
```
La2BeAs
1.0
4.067 0.000 0.000
0.000 6.019 0.000
0.000 0.000 8.646
La Be As
4 2 2
Cartesian
0.000 0.000 0.000
0.000 3.010 3.301
2.034 0.000 3.301
2.034 3.010 0.000
0.000 0.000 5.471
2.034 3.010 5.471
0.000 3.010 6.464
2.034 0.000 6.464
```

[7]
An optimized crystal structure of LiSmSb. Source: the Alexandria database, functional PBE.

Calculated values
Offset from the most stable computed form   1.299 eV per formula unit
Formation energy from raw total energies   -0.44 eV per atom
ρ   6.12 g/cm3

Geometry as POSCAR:
```
LiSmSb
1.0
3.771 0.000 0.000
0.000 3.771 0.000
0.000 0.000 10.654
Li Sm Sb
2 2 2
Cartesian
0.000 0.000 0.000
1.886 1.886 5.327
0.000 0.000 3.161
1.886 1.886 8.488
0.000 0.000 6.463
1.886 1.886 1.136
```

[8]
An optimized crystal structure of La8IrRh5. Source: the Alexandria database, functional PBE.

Calculated values
Energy of formation from the pure elements   -0.713 eV per atom
ρ   8.27 g/cm3

Geometry as POSCAR:
```
La8IrRh5
1.0
-4.503 4.503 4.500
4.503 -4.503 4.500
4.503 4.503 -4.500
La Ir Rh
8 1 5
Cartesian
5.019 -2.756 2.872
1.747 -0.516 1.628
4.007 1.734 -0.599
7.259 0.516 1.628
2.768 -0.496 5.098
1.734 4.998 0.599
3.986 2.756 2.872
0.496 2.768 3.901
4.503 0.000 2.250
1.120 2.251 1.144
0.000 0.000 4.500
-2.251 3.383 3.355
-1.120 6.754 1.144
2.251 5.622 3.355
```

[9]
An optimized crystal structure of MnSbP2. Source: the Alexandria database, functional PBE.

Calculated values
Formation energy from raw total energies   0.05 eV per atom
ρ   5.37 g/cm3

Geometry as POSCAR:
```
MnSbP2
1.0
4.529 0.000 0.000
0.000 3.528 0.000
-1.462 0.000 4.620
Mn Sb P
1 1 2
Cartesian
0.000 0.000 0.000
1.534 0.000 2.310
-0.029 1.764 3.912
3.097 1.764 0.709
```

[10]
An optimized crystal structure of AcCeMg2Hg4. Source: the Alexandria database, functional PBE.

Calculated values
Energy of formation from the pure elements   -0.413 eV per atom
ρ   9.64 g/cm3

Geometry as POSCAR:
```
AcCeMg2Hg4
1.0
2.632 1.520 8.743
-2.632 1.520 8.743
0.000 -3.039 8.743
Ac Ce Mg Hg
1 1 2 4
Cartesian
0.000 0.000 0.000
0.000 0.000 13.114
0.000 0.000 6.480
0.000 0.000 19.748
0.000 0.000 3.351
0.000 0.000 9.974
0.000 0.000 16.254
0.000 0.000 22.877
```

[11]
An optimized crystal structure of LiAc3Pm3S8. Source: the Alexandria database, functional PBE.

Calculated values
Formation energy from raw total energies   -1.97 eV per atom
ρ   5.74 g/cm3

Geometry as POSCAR:
```
LiAc3Pm3S8
1.0
4.105 2.370 6.841
-4.105 2.370 6.841
0.000 -4.740 6.841
Li Ac Pm S
1 3 3 8
Cartesian
0.000 0.000 0.000
-4.105 0.000 10.262
-2.053 1.185 3.421
2.053 1.185 3.421
-2.053 -1.185 6.841
-2.053 1.185 13.682
0.000 2.370 6.841
0.000 -2.405 8.409
-2.083 1.203 8.409
-2.083 -1.203 12.115
0.000 0.000 5.258
0.000 0.000 15.265
2.083 1.203 8.409
2.083 -1.203 12.115
0.000 2.405 12.115
```

[12]
An optimized crystal structure of Dy3SeS3. Source: the Alexandria database, functional PBE.

Calculated values
Offset from the most stable computed form   0.307 eV per formula unit
Formation energy from raw total energies   -1.95 eV per atom
ρ   6.65 g/cm3

Geometry as POSCAR:
```
Dy3SeS3
1.0
4.156 2.400 5.533
-4.156 2.400 5.533
0.000 -4.799 5.533
Dy Se S
6 2 6
Cartesian
-3.031 -0.030 6.970
-1.489 -2.640 9.629
1.542 -2.610 6.970
-1.542 2.610 9.629
1.489 2.640 6.970
3.031 0.030 9.629
0.000 0.000 2.797
0.000 0.000 13.803
-1.146 -2.082 6.804
-2.376 -0.048 9.796
-1.230 2.034 6.804
1.230 -2.034 9.796
2.376 0.048 6.804
1.146 2.082 9.796
```

[13]
An optimized crystal structure of Pm2Cd3Ag2. Source: the Alexandria database, functional PBE.

Calculated values
Offset from the most stable computed form   0.000 eV per formula unit
Energy of formation from the pure elements   -0.292 eV per atom
ρ   8.29 g/cm3

Geometry as POSCAR:
```
Pm2Cd3Ag2
1.0
10.276 0.000 0.000
0.000 4.717 0.000
-2.610 0.000 6.966
Pm Cd Ag
4 6 4
Cartesian
0.728 0.000 1.905
1.799 2.359 5.061
5.866 2.359 1.905
6.938 0.000 5.061
-1.305 2.359 3.483
-1.215 2.359 6.497
3.743 0.000 0.469
3.833 0.000 3.483
3.923 0.000 6.497
8.881 2.359 0.469
-0.253 0.000 4.915
2.781 2.359 2.051
4.885 2.359 4.915
7.919 0.000 2.051
```

[14]
An optimized crystal structure of Ac6RuPb2N. Source: the Alexandria database, functional PBE.

Calculated values
Formation energy from raw total energies   -0.42 eV per atom
ρ   9.00 g/cm3

Geometry as POSCAR:
```
Ac6RuPb2N
1.0
7.922 0.000 0.000
0.000 10.929 0.000
0.000 0.000 8.061
Ac Ru Pb N
12 2 4 2
Cartesian
0.012 2.732 0.077
0.060 2.732 4.068
1.981 0.167 2.172
1.981 5.297 2.172
3.901 2.732 4.068
3.949 2.732 0.077
3.973 8.197 7.983
4.021 8.197 3.993
5.942 5.632 5.888
5.942 10.762 5.888
7.862 8.197 3.993
7.910 8.197 7.983
1.981 8.197 2.086
5.942 2.732 5.974
1.981 5.523 6.044
1.981 10.870 6.044
5.942 0.059 2.017
5.942 5.406 2.017
1.981 2.732 1.597
5.942 8.197 6.464
```

[15]
An optimized crystal structure of LaAg5Cl8. Source: the Alexandria database, functional PBE.

Calculated values
Formation energy from raw total energies   -0.96 eV per atom
ρ   4.65 g/cm3

Geometry as POSCAR:
```
LaAg5Cl8
1.0
-4.545 4.545 4.156
4.545 -4.545 4.156
4.545 4.545 -4.156
La Ag Cl
1 5 8
Cartesian
0.000 0.000 0.000
2.260 -1.222 3.366
3.323 2.285 0.790
2.285 5.767 -0.790
0.000 4.545 2.078
1.222 2.260 4.946
2.672 -0.213 0.797
4.429 2.695 -1.606
6.418 0.213 0.797
4.758 -1.873 3.358
0.116 1.850 2.550
4.332 1.873 3.358
1.850 -0.116 5.762
2.695 4.661 1.606
```

[16]
An optimized crystal structure of YTmZnRu. Source: the Alexandria database, functional PBE.

Calculated values
Offset from the most stable computed form   0.181 eV per formula unit
Energy of formation from the pure elements   -0.379 eV per atom
ρ   8.53 g/cm3

Geometry as POSCAR:
```
YTmZnRu
1.0
6.914 0.000 0.000
0.000 6.914 0.000
0.000 0.000 6.914
Y Tm Zn Ru
4 4 4 4
Cartesian
0.000 0.000 0.000
0.000 3.457 3.457
3.457 0.000 3.457
3.457 3.457 0.000
0.000 0.000 3.457
0.000 3.457 0.000
3.457 0.000 0.000
3.457 3.457 3.457
1.729 1.729 5.186
1.729 5.186 1.729
5.186 1.729 1.729
5.186 5.186 5.186
1.729 1.729 1.729
1.729 5.186 5.186
5.186 1.729 5.186
5.186 5.186 1.729
```

[17]
An optimized crystal structure of PmNd2Ho2Th2. Source: the Alexandria database, functional PBE.

Calculated values
Energy of formation from the pure elements   0.152 eV per atom
ρ   8.66 g/cm3

Geometry as POSCAR:
```
PmNd2Ho2Th2
1.0
17.348 0.000 0.000
0.000 3.499 0.000
-4.362 0.000 7.755
Pm Nd Ho Th
2 4 4 4
Cartesian
0.000 0.000 0.000
8.674 1.749 0.000
0.619 1.749 3.460
3.693 0.000 4.295
9.293 0.000 3.460
12.367 1.749 4.295
3.277 1.749 1.144
1.035 0.000 6.611
11.950 0.000 1.144
9.709 1.749 6.611
-1.948 1.749 5.634
6.260 0.000 2.122
6.726 0.000 5.634
14.934 1.749 2.122
```

[18]
An optimized crystal structure of Rb2LaW. Source: the Alexandria database, functional PBE.

Calculated values
Offset from the most stable computed form   1.561 eV per formula unit
Energy of formation from the pure elements   1.900 eV per atom
ρ   5.41 g/cm3

Geometry as POSCAR:
```
Rb2LaW
1.0
8.463 0.000 0.000
0.000 8.463 0.000
0.000 0.000 8.463
Rb La W
8 4 4
Cartesian
2.116 2.116 2.116
2.116 2.116 6.347
2.116 6.347 2.116
2.116 6.347 6.347
6.347 2.116 2.116
6.347 2.116 6.347
6.347 6.347 2.116
6.347 6.347 6.347
0.000 0.000 0.000
0.000 4.232 4.232
4.232 0.000 4.232
4.232 4.232 0.000
0.000 0.000 4.232
0.000 4.232 0.000
4.232 0.000 0.000
4.232 4.232 4.232
```

[19]
An optimized crystal structure of Tc2AgOs. Source: the Alexandria database, functional PBE.

Calculated values
Offset from the most stable computed form   0.428 eV per formula unit
Energy of formation from the pure elements   0.371 eV per atom
ρ   13.40 g/cm3

Geometry as POSCAR:
```
Tc2AgOs
1.0
2.767 0.000 0.000
0.000 3.944 0.000
0.000 0.000 5.611
Tc Ag Os
2 1 1
Cartesian
0.000 0.000 1.239
0.000 0.000 4.371
1.384 1.972 2.805
1.384 1.972 0.000
```

[20]
An optimized crystal structure of CsPdF. Source: the Alexandria database, functional PBE.

Calculated values
Offset from the most stable computed form   0.295 eV per formula unit
Formation energy from raw total energies   -1.19 eV per atom
ρ   5.81 g/cm3

Geometry as POSCAR:
```
CsPdF
1.0
3.606 0.000 0.000
1.802 5.843 0.000
0.002 1.837 7.005
Cs Pd F
2 2 2
Cartesian
0.903 2.448 2.190
4.506 5.232 4.815
0.903 2.096 6.143
4.506 5.585 0.862
2.703 5.153 2.382
2.706 2.527 4.623
```